No. 1
{
  "formula": "NiSnRu2C",
  "functional": "PBE",
  "state": "optimized geometry",
  "final_energy_ev_per_atom": -7.45,
  "formation_energy_mev_per_atom": 59,
  "cell": [[-2.5305, 2.5024, 2.0805], [-2.1716, 0.6645, -3.4405], [-2.2753, -3.0113, 0.8545]],
  "species": ["C", "Ru", "Sn", "Ru", "Ni"],
  "frac_coords": [[0.0000, 0.0000, 0.0000], [0.0000, 0.5000, 0.0000], [0.5000, 0.5000, 0.5000], [0.5000, 0.0000, 0.0000], [0.0000, 0.0000, 0.5000]]
}



No. 2
{
  "formula": "Ni2SnRuC",
  "functional": "PBE",
  "state": "optimized geometry",
  "final_energy_ev_per_atom": -6.75,
  "formation_energy_mev_per_atom": 65,
  "cell": [[-0.4929, -2.9558, -2.5275], [2.9242, 1.3980, -2.2051], [2.6609, -2.2443, 2.1058]],
  "species": ["Ru", "C", "Ni", "Sn", "Ni"],
  "frac_coords": [[0.0000, 0.0000, 0.5000], [0.0000, 0.0000, 0.0000], [0.5000, 0.0000, 0.0000], [0.5000, 0.5000, 0.5000], [0.0000, 0.5000, 0.0000]]
}



No. 3
{
  "formula": "TmNiRu2C",
  "functional": "PBE",
  "state": "optimized geometry",
  "final_energy_ev_per_atom": -7.86,
  "formation_energy_mev_per_atom": -257,
  "cell": [[3.9196, 0.0000, 0.0000], [0.0000, 4.1565, 0.0000], [0.0000, 0.0000, 4.1565]],
  "species": ["Ni", "C", "Ru", "Ru", "Tm"],
  "frac_coords": [[0.5000, 0.0000, 0.0000], [0.0000, 0.0000, 0.0000], [0.0000, 0.0000, 0.5000], [0.0000, 0.5000, 0.0000], [0.5000, 0.5000, 0.5000]]
}



No. 4
{
  "formula": "Y2NiRuC",
  "functional": "PBE",
  "state": "optimized geometry",
  "final_energy_ev_per_atom": -7.70,
  "formation_energy_mev_per_atom": -259,
  "cell": [[4.9121, 0.0000, 0.0000], [0.0000, 4.9121, 0.0000], [0.0000, 0.0000, 3.8432]],
  "species": ["C", "Y", "Y", "Ru", "Ni"],
  "frac_coords": [[0.0000, 0.0000, 0.0000], [0.5000, 0.0000, 0.0000], [0.0000, 0.5000, 0.0000], [0.0000, 0.0000, 0.5000], [0.5000, 0.5000, 0.5000]]
}



No. 5
{
  "formula": "YNi2RuC",
  "functional": "PBE",
  "state": "optimized geometry",
  "final_energy_ev_per_atom": -7.50,
  "formation_energy_mev_per_atom": -191,
  "cell": [[4.0155, 0.0000, 0.0000], [0.0000, 4.0155, 0.0000], [0.0000, 0.0000, 4.1010]],
  "species": ["Ni", "C", "Ni", "Ru", "Y"],
  "frac_coords": [[0.5000, 0.0000, 0.0000], [0.0000, 0.0000, 0.0000], [0.0000, 0.5000, 0.0000], [0.0000, 0.0000, 0.5000], [0.5000, 0.5000, 0.5000]]
}



No. 6
{
  "formula": "YNiRu2C",
  "functional": "PBE",
  "state": "optimized geometry",
  "final_energy_ev_per_atom": -8.19,
  "formation_energy_mev_per_atom": -186,
  "cell": [[-3.0609, 0.1883, 2.8338], [-2.7165, -1.4094, -2.8406], [0.7869, -3.7291, 1.0977]],
  "species": ["Ru", "Y", "C", "Ni", "Ru"],
  "frac_coords": [[0.0000, 0.5000, 0.0000], [0.5000, 0.5000, 0.5000], [0.0000, 0.0000, 0.0000], [0.0000, 0.0000, 0.5000], [0.5000, 0.0000, 0.0000]]
}